An optimized crystal structure of NiMoOs2, computed with PBE.

Computed properties:
Mass density = 15.60 g cm⁻³
Energy relative to the lowest polymorph listed for this composition = 333.5 meV/atom
Calculated formation energy = 0.37 eV per atom
Space-group type = Pmmm (47)
Spin magnetization = 0.00 μB/atom

Lattice parameters (Å, degrees): 2.762 4.519 4.564 90.00 90.00 90.00
Fractional coordinates of all 4 atoms:
Ni: 0.000 0.000 0.000
Mo: 0.500 0.000 0.500
Os: 0.000 0.500 0.500
Os: 0.500 0.500 0.000